Ce2Cr2O7: optimized geometry, PBE+U.

Summary:
- Symmetry: No. 227
- Crystal system: cubic

Lattice parameters (Å, degrees): 7.261 7.261 7.261 60.00 60.00 60.00
Sites, in units of the cell vectors:
Ce: 0.000 0.000 0.000
Ce: 0.000 0.000 0.500
Ce: 0.000 0.500 0.000
Ce: 0.500 0.000 0.000
Cr: 0.000 0.500 0.500
Cr: 0.500 0.000 0.500
Cr: 0.500 0.500 0.000
Cr: 0.500 0.500 0.500
O: 0.125 0.125 0.125
O: 0.157 0.157 0.593
O: 0.157 0.593 0.157
O: 0.157 0.593 0.593
O: 0.407 0.407 0.843
O: 0.407 0.843 0.407
O: 0.407 0.843 0.843
O: 0.593 0.157 0.157
O: 0.593 0.157 0.593
O: 0.593 0.593 0.157
O: 0.843 0.407 0.407
O: 0.843 0.407 0.843
O: 0.843 0.843 0.407
O: 0.875 0.875 0.875

CeCr2O10: optimized geometry, PBE+U.

Summary:
- Symmetry: No. 11
- Crystal system: monoclinic

Lattice parameters (Å, degrees): 5.893 10.901 6.783 90.00 91.28 90.00
Sites, in units of the cell vectors:
Ce: 0.229 0.250 0.034
Ce: 0.771 0.750 0.966
Cr: 0.265 0.546 0.735
Cr: 0.265 0.954 0.735
Cr: 0.735 0.046 0.265
Cr: 0.735 0.454 0.265
O: 0.043 0.617 0.846
O: 0.043 0.883 0.846
O: 0.156 0.750 0.081
O: 0.237 0.561 0.502
O: 0.237 0.939 0.502
O: 0.267 0.104 0.795
O: 0.267 0.396 0.795
O: 0.319 0.250 0.375
O: 0.490 0.112 0.186
O: 0.490 0.388 0.186
O: 0.510 0.612 0.814
O: 0.510 0.888 0.814
O: 0.681 0.750 0.625
O: 0.733 0.604 0.205
O: 0.733 0.896 0.205
O: 0.763 0.061 0.498
O: 0.763 0.439 0.498
O: 0.844 0.250 0.919
O: 0.957 0.117 0.154
O: 0.957 0.383 0.154

Ce6CrO12: optimized geometry, PBE+U.

Summary:
- Symmetry: No. 148
- Crystal system: trigonal

Lattice parameters (Å, degrees): 6.633 6.633 6.633 99.02 99.02 99.02
Sites, in units of the cell vectors:
Ce: 0.101 0.788 0.634
Ce: 0.212 0.366 0.899
Ce: 0.366 0.899 0.212
Ce: 0.634 0.101 0.788
Ce: 0.788 0.634 0.101
Ce: 0.899 0.212 0.366
Cr: 0.500 0.500 0.500
O: 0.063 0.910 0.323
O: 0.090 0.677 0.937
O: 0.196 0.435 0.553
O: 0.323 0.063 0.910
O: 0.435 0.553 0.196
O: 0.447 0.804 0.565
O: 0.553 0.196 0.435
O: 0.565 0.447 0.804
O: 0.677 0.937 0.090
O: 0.804 0.565 0.447
O: 0.910 0.323 0.063
O: 0.937 0.090 0.677

One value per record, in order, for raw total energy: -8.27 -6.51 -8.65 eV/atom.